1.
Ho2Tm3Cd2 | PBE | optimized geometry

Geometry as POSCAR:
```
Ho2Tm3Cd2
1.0
5.008 0.000 0.665
0.000 3.417 0.000
1.027 0.000 11.460
Tm Cd Ho
3 2 2
Cartesian
1.462 0.000 8.183
0.000 0.000 0.000
4.573 0.000 3.941
3.734 1.709 10.265
2.301 1.709 1.860
4.152 1.709 7.109
1.882 1.709 5.016
```

Values from the calculation:
Offset from the most stable computed form: 0.102 eV per atom
ΔH_f (0 K): -0.04 eV/atom
Crystal system: orthorhombic

---

2.
AgPtCl | PBE | optimized geometry

Geometry as POSCAR:
```
AgPtCl
1.0
-1.214 3.066 6.165
-0.327 0.142 6.639
2.038 2.286 0.419
Cl Ag Pt
1 1 1
Cartesian
0.861 2.590 4.492
-1.540 3.208 12.801
-0.364 2.905 8.732
```

Values from the calculation:
Offset from the most stable computed form: 0.003 eV per atom
Formation energy without anion corrections: 0.2591 eV per atom
Crystal system: orthorhombic

---

3.
BaRe2Ag | PBE | optimized geometry

Geometry as POSCAR:
```
BaRe2Ag
1.0
-0.313 6.011 -0.314
-4.793 -3.642 0.303
0.063 0.148 2.774
Re Ba Ag
2 1 1
Cartesian
-2.553 1.185 -0.005
0.000 0.000 0.000
-2.365 -1.747 1.538
-0.125 3.080 1.230
```

Values from the calculation:
Offset from the most stable computed form: 0.904 eV per atom
ΔH_f (0 K): 1.44 eV/atom
Crystal system: orthorhombic

---

4.
TmGa8Mo2 | PBE | optimized geometry

Geometry as POSCAR:
```
TmGa8Mo2
1.0
5.059 0.554 0.000
0.967 7.265 0.000
0.484 3.633 5.770
Ga Mo Tm
8 2 1
Cartesian
1.725 3.120 0.000
3.497 7.542 3.130
4.302 4.699 0.000
3.013 3.910 2.640
1.352 5.760 1.245
1.836 9.393 4.525
5.157 5.691 4.525
4.674 2.059 1.245
0.484 3.632 2.510
0.967 7.265 3.259
2.529 0.277 0.000
```

Values from the calculation:
ΔH_f (0 K): -0.02 eV/atom
Crystal system: monoclinic

---

5.
Sr2US5 | PBE | optimized geometry

Geometry as POSCAR:
```
Sr2US5
1.0
7.611 0.000 0.000
0.000 8.323 0.000
0.000 0.000 11.996
Sr S U
8 20 4
Cartesian
0.548 8.266 3.968
4.354 4.105 2.030
7.063 4.105 8.027
4.354 0.057 2.030
0.548 4.218 3.968
7.063 0.057 8.027
3.257 4.218 9.966
3.257 8.266 9.966
0.590 2.081 6.100
7.021 6.242 5.896
6.288 0.349 11.182
2.482 7.973 6.812
1.323 4.511 0.814
5.129 0.349 5.184
4.910 6.242 8.414
2.482 4.511 6.812
3.215 2.081 0.102
4.685 2.081 8.302
6.507 6.242 2.416
1.323 7.973 0.814
0.879 6.242 9.692
2.701 2.081 3.582
4.396 6.242 11.894
5.129 3.812 5.184
6.288 3.812 11.182
6.732 2.081 2.304
1.105 2.081 9.580
2.926 6.242 3.694
4.276 6.242 5.925
3.335 2.081 6.071
7.141 6.242 11.923
0.470 2.081 0.073
```

Values from the calculation:
Formation energy without anion corrections: -1.6496 eV per atom
Crystal system: orthorhombic

---

6.
Cs2K3LiBr6 | PBE | optimized geometry

Geometry as POSCAR:
```
Cs2K3LiBr6
1.0
-0.172 6.626 5.182
-7.126 -4.230 -1.450
3.851 -5.428 4.846
K Br Li Cs
3 6 1 2
Cartesian
0.609 2.124 6.513
-1.723 -1.516 4.289
-4.056 -5.157 2.065
-1.903 -2.624 1.257
-5.235 0.888 4.037
-1.543 -0.408 7.321
0.306 0.824 3.364
1.788 -3.920 4.541
-3.753 -3.857 5.214
0.000 0.000 0.000
-2.464 3.048 2.996
-4.834 -0.652 0.736
```

Values from the calculation:
Formation energy without anion corrections: -1.6691 eV per atom
Crystal system: monoclinic

---

no.,E (eV per atom)
1,-3.530
2,-3.320
3,-5.982
4,-4.601
5,-6.061
6,-3.082